{"formula": "NaMoPO6", "functional": "GGA+U", "state": "optimized geometry", "volume_a3_per_cell": 966, "n_ef_per_ev_atom": 0.00, "relative_energy_mev_per_atom": 0, "total_magnetization_mub_per_atom": 0.000, "spacegroup": "P2_1/c", "lattice": [[6.4521, 0.0000, 0.0000], [0.0000, 12.2042, 0.0000], [-6.1164, 0.0000, 12.2634]], "species": ["Na", "Na", "Na", "Na", "Na", "Na", "Na", "Na", "Mo", "Mo", "Mo", "Mo", "Mo", "Mo", "Mo", "Mo", "P", "P", "P", "P", "P", "P", "P", "P", "O", "O", "O", "O", "O", "O", "O", "O", "O", "O", "O", "O", "O", "O", "O", "O", "O", "O", "O", "O", "O", "O", "O", "O", "O", "O", "O", "O", "O", "O", "O", "O", "O", "O", "O", "O", "O", "O", "O", "O", "O", "O", "O", "O", "O", "O", "O", "O"], "fractional_positions": [[0.0688, 0.2034, 0.1122], [0.0688, 0.2966, 0.6122], [0.3876, 0.6749, 0.8466], [0.3876, 0.8251, 0.3466], [0.6124, 0.1749, 0.6534], [0.6124, 0.3251, 0.1534], [0.9312, 0.7034, 0.3878], [0.9312, 0.7966, 0.8878], [0.1449, 0.1035, 0.8874], [0.1449, 0.3965, 0.3874], [0.3819, 0.6038, 0.1296], [0.3819, 0.8962, 0.6296], [0.6181, 0.1038, 0.3704], [0.6181, 0.3962, 0.8704], [0.8551, 0.6035, 0.6126], [0.8551, 0.8965, 0.1126], [0.1861, 0.1145, 0.4374], [0.1861, 0.3855, 0.9374], [0.3645, 0.5409, 0.6232], [0.3645, 0.9591, 0.1232], [0.6355, 0.0409, 0.8768], [0.6355, 0.4591, 0.3768], [0.8139, 0.6145, 0.0626], [0.8139, 0.8855, 0.5626], [0.0224, 0.1676, 0.7590], [0.0224, 0.3324, 0.2590], [0.0706, 0.5778, 0.1247], [0.0706, 0.9222, 0.6247], [0.0980, 0.5350, 0.3579], [0.0980, 0.9650, 0.8579], [0.1478, 0.6166, 0.5897], [0.1478, 0.8834, 0.0897], [0.2071, 0.2368, 0.4704], [0.2071, 0.2632, 0.9704], [0.2759, 0.6763, 0.0067], [0.2759, 0.8237, 0.5067], [0.2936, 0.0917, 0.3578], [0.2936, 0.4083, 0.8578], [0.2958, 0.0695, 0.0630], [0.2958, 0.4305, 0.5630], [0.3181, 0.0504, 0.5435], [0.3181, 0.4496, 0.0435], [0.4641, 0.7040, 0.2309], [0.4641, 0.7960, 0.7309], [0.4718, 0.1065, 0.9123], [0.4718, 0.3935, 0.4123], [0.4826, 0.5251, 0.7472], [0.4826, 0.9749, 0.2472], [0.5174, 0.0251, 0.7528], [0.5174, 0.4749, 0.2528], [0.5282, 0.6065, 0.5877], [0.5282, 0.8935, 0.0877], [0.5359, 0.2040, 0.2691], [0.5359, 0.2960, 0.7691], [0.6819, 0.5504, 0.9565], [0.6819, 0.9496, 0.4565], [0.7042, 0.5695, 0.4370], [0.7042, 0.9305, 0.9370], [0.7064, 0.5917, 0.1422], [0.7064, 0.9083, 0.6422], [0.7241, 0.1763, 0.4933], [0.7241, 0.3237, 0.9933], [0.7929, 0.7368, 0.0296], [0.7929, 0.7632, 0.5296], [0.8522, 0.1166, 0.9103], [0.8522, 0.3834, 0.4103], [0.9020, 0.0350, 0.1421], [0.9020, 0.4650, 0.6421], [0.9294, 0.0778, 0.3753], [0.9294, 0.4222, 0.8753], [0.9776, 0.6676, 0.7410], [0.9776, 0.8324, 0.2410]]}